Record 1
BaNdAs2Pt4 after structural relaxation, computed with PBE.

CIF file:
```
data_BaNdAs2Pt4
_chemical_formula_sum 'Ba1 Nd1 As2 Pt4'
_space_group_name_H-M_alt 'P 4/m m m'
_space_group_IT_number 123
_space_group_name_Hall '-P 4 2'
_cell_length_a 4.142
_cell_length_b 4.142
_cell_length_c 10.824
_cell_angle_alpha 90.00
_cell_angle_beta 90.00
_cell_angle_gamma 90.00
loop_
_atom_site_label
_atom_site_type_symbol
_atom_site_fract_x
_atom_site_fract_y
_atom_site_fract_z
Ba1 Ba 0.000 0.000 0.000
Nd1 Nd 0.000 0.000 0.500
As1 As 0.500 0.500 0.170
Pt1 Pt 0.000 0.500 0.296
```

Properties
Magnetization = 0.000 μB/atom
Formation energy = -71.3 kJ/mol of atoms
VASP energy = -5.76 eV per atom
Calculated volume = 185.7 Å³/f.u.


Record 2
Ba2NdAs3Pt4 after structural relaxation, computed with PBE.

CIF file:
```
data_Ba2NdAs3Pt4
_chemical_formula_sum 'Ba2 Nd1 As3 Pt4'
_space_group_name_H-M_alt 'P -4 m 2'
_space_group_IT_number 115
_cell_length_a 4.526
_cell_length_b 4.526
_cell_length_c 11.398
_cell_angle_alpha 90.00
_cell_angle_beta 90.00
_cell_angle_gamma 90.00
loop_
_space_group_symop_operation_xyz
'x,y,z'
'y,-x,-z'
'-x,-y,z'
'-y,x,-z'
'-x,y,z'
'-y,-x,-z'
'x,-y,z'
'y,x,-z'
loop_
_atom_site_label
_atom_site_type_symbol
_atom_site_fract_x
_atom_site_fract_y
_atom_site_fract_z
Ba1 Ba 0.000 0.500 0.227
Nd1 Nd 0.000 0.000 0.500
As1 As 0.000 0.500 0.886
As2 As 0.500 0.500 0.500
Pt1 Pt 0.000 0.000 0.000
Pt2 Pt 0.000 0.500 0.661
Pt3 Pt 0.500 0.500 0.000
```

Properties
Magnetization = 0.000 μB/atom
Formation energy = -78.3 kJ/mol of atoms
VASP energy = -5.48 eV per atom
Calculated volume = 233.5 Å³/f.u.


Record 3
BaNdAs2S8 after structural relaxation, computed with PBE.

CIF file:
```
data_BaNdAs2S8
_chemical_formula_sum 'Ba1 Nd1 As2 S8'
_space_group_name_H-M_alt 'P -3'
_space_group_IT_number 147
_cell_length_a 6.1734
_cell_length_b 6.1734
_cell_length_c 9.5921
_cell_angle_alpha 90.00
_cell_angle_beta 90.00
_cell_angle_gamma 120.00
loop_
_space_group_symop_operation_xyz
'x,y,z'
'-x,-y,-z'
'-y,x-y,z'
'y,-x+y,-z'
'-x+y,-x,z'
'x-y,x,-z'
loop_
_atom_site_label
_atom_site_type_symbol
_atom_site_fract_x
_atom_site_fract_y
_atom_site_fract_z
Ba1 Ba 0.0000 0.0000 0.0000
Nd1 Nd 0.0000 0.0000 0.5000
As1 As 0.3333 0.6667 0.7599
S1 S 0.0216 0.6639 0.3030
S2 S 0.3333 0.6667 0.9866
```

Properties
Magnetization = 0.016 μB/atom
Formation energy from raw total energies = -0.66 eV/atom
VASP energy = -4.75 eV per atom
Calculated volume = 316.6 Å³/f.u.


Record 4
Ba2NdUAs4 after structural relaxation, computed with PBE.

CIF file:
```
data_Ba2NdUAs4
_chemical_formula_sum 'Ba2 Nd1 U1 As4'
_space_group_name_H-M_alt 'P 1 2/m 1'
_space_group_IT_number 10
_cell_length_a 7.554
_cell_length_b 4.399
_cell_length_c 7.898
_cell_angle_alpha 90.00
_cell_angle_beta 108.69
_cell_angle_gamma 90.00
loop_
_space_group_symop_operation_xyz
'x,y,z'
'-x,-y,-z'
'-x,y,-z'
'x,-y,z'
loop_
_atom_site_label
_atom_site_type_symbol
_atom_site_fract_x
_atom_site_fract_y
_atom_site_fract_z
Ba1 Ba 0.000 0.000 0.000
Ba2 Ba 0.500 0.500 0.000
Nd1 Nd 0.000 0.500 0.500
U1 U 0.500 0.000 0.500
As1 As 0.255 0.000 0.708
As2 As 0.280 0.500 0.298
```

Properties
Magnetization = 0.125 μB/atom
Formation energy = -105.2 kJ/mol of atoms
VASP energy = -5.90 eV per atom
Calculated volume = 248.6 Å³/f.u.


Record 5
BaNi9As5 after structural relaxation, computed with PBE.

CIF file:
```
data_BaNi9As5
_chemical_formula_sum 'Ba2 Ni18 As10'
_space_group_name_H-M_alt 'P 63/m m c'
_space_group_IT_number 194
_space_group_name_Hall '-P 6c 2c'
_cell_length_a 6.7667
_cell_length_b 6.7667
_cell_length_c 11.3434
_cell_angle_alpha 90.00
_cell_angle_beta 90.00
_cell_angle_gamma 120.00
loop_
_atom_site_label
_atom_site_type_symbol
_atom_site_fract_x
_atom_site_fract_y
_atom_site_fract_z
Ba1 Ba 0.0000 0.0000 0.0000
Ni1 Ni 0.0710 0.5355 0.1065
Ni2 Ni 0.2087 0.4174 0.7500
As1 As 0.1732 0.3464 0.2500
As2 As 0.3333 0.6667 0.5610
```

Properties
Magnetization = 0.000 μB/atom
Formation energy = -44.8 kJ/mol of atoms
VASP energy = -5.61 eV per atom
Calculated volume = 224.9 Å³/f.u.


Record 6
BaNiAs2 after structural relaxation, computed with PBE.

CIF file:
```
data_BaNiAs2
_chemical_formula_sum 'Ba1 Ni1 As2'
_space_group_name_H-M_alt 'P 4 m m'
_space_group_IT_number 99
_cell_length_a 3.540
_cell_length_b 3.540
_cell_length_c 7.136
_cell_angle_alpha 90.00
_cell_angle_beta 90.00
_cell_angle_gamma 90.00
loop_
_space_group_symop_operation_xyz
'x,y,z'
'-y,x,z'
'-x,-y,z'
'y,-x,z'
'-x,y,z'
'y,x,z'
'x,-y,z'
'-y,-x,z'
loop_
_atom_site_label
_atom_site_type_symbol
_atom_site_fract_x
_atom_site_fract_y
_atom_site_fract_z
Ba1 Ba 0.000 0.000 0.000
Ni1 Ni 0.500 0.500 0.367
As1 As 0.000 0.000 0.462
As2 As 0.500 0.500 0.692
```

Properties
Magnetization = 0.000 μB/atom
Formation energy = -11.4 kJ/mol of atoms
VASP energy = -4.37 eV per atom
Calculated volume = 89.4 Å³/f.u.